KNaRh2: relaxed, PBE.

POSCAR file:
```
KNaRh2
1.0
2.1218 -2.8303 3.3512
2.8307 1.9900 3.4308
-1.5182 0.1469 4.6278
K Rh Na
1 2 1
Direct
0.5000 0.5000 0.5000
0.2500 0.2500 0.2500
0.7500 0.7500 0.7500
0.0000 0.0000 0.0000
```

Summary:
Energy above the most stable polymorph in this dataset, eV/atom: 0.293
Symmetry: Fm-3m
Crystal system: cubic
Total moment, μB/f.u.: 0.6
Formation energy, eV per atom: 1.01